Computed, not measured: Cu2MoIr after structural relaxation at the PBE-GGA level of DFT.

Lattice parameters (Å, degrees): 5.9904 5.9904 5.9904 90.00 90.00 90.00
Space group Fm-3m (No. 225)
Unique sites:
Cu: 0.2500 0.2500 0.2500
Mo: 0.0000 0.0000 0.0000
Ir: 0.0000 0.0000 0.5000

Summary:
The value obtained for the density of states at the Fermi level is 0.9336 states/eV/atom. The value obtained for the formation energy from the elements is 230 meV/atom. For the energy above the most stable polymorph in this dataset, the calculation gives 197.4 meV per atom.

=====

Computed, not measured: KNaBi after structural relaxation at the PBE-GGA level of DFT.

Lattice parameters (Å, degrees): 5.6552 5.6552 3.8302 90.00 90.00 120.00
Space group P3m1 (No. 156)
Unique sites:
K: 0.0000 0.0000 0.0000
Na: 0.3333 0.6667 0.4906
Bi: 0.6667 0.3333 0.5037

Summary:
The value obtained for the density of states at the Fermi level is 0.9331 states/eV/atom. The value obtained for the formation energy from the elements is -317 meV/atom. For the energy above the most stable polymorph in this dataset, the calculation gives 0.0 meV per atom.

=====

Computed, not measured: SrLaCl2 after structural relaxation at the PBE-GGA level of DFT.

Lattice parameters (Å, degrees): 7.3679 7.3679 7.3679 90.00 90.00 90.00
Space group Fm-3m (No. 225)
Unique sites:
Sr: 0.0000 0.0000 0.0000
La: 0.0000 0.0000 0.5000
Cl: 0.2500 0.2500 0.2500

Summary:
The value obtained for the density of states at the Fermi level is 0.8986 states/eV/atom. The calculation puts the uncorrected formation energy at -115.4 kJ per mole of atoms. For the energy above the most stable polymorph in this dataset, the calculation gives 383.3 meV per atom.